Below is a relaxed structure of Na2HfMoO, with properties calculated at the PBE+U level.

Cell lengths 6.1588, 6.1588, 3.7898 Å; angles 90.00, 90.00, 90.00 degrees
Last column: nearest neighbours and their distance in Å.
Space group P4/mmm (No. 123)
Symmetry-distinct sites (fractional):
Na (0.0000, 0.5000, 0.0000) [2 per cell]  2 Mo 3.08
Hf (0.0000, 0.0000, 0.5000) [1 per cell]  8 Na 3.62, 2 Hf 3.79
Mo (0.5000, 0.5000, 0.0000) [1 per cell]  2 O 1.89
O (0.5000, 0.5000, 0.5000) [1 per cell]  2 Mo 1.89

Summary:
Volume ... 143.75 Å³ per cell
Crystal system ... tetragonal
Final energy ... -4.263 eV per atom